A plane-wave DFT calculation with GGA-PBE was carried out for a geometry-optimized Nd2GePt3 structure.

Summary:
energy of formation	-99.0	kJ per mole of atoms
electronic total energy	-6.41	eV/atom
size of the total moment	0.0	μB/cell

Cell lengths 3.8256, 4.3799, 7.8860 Å; angles 90.00, 90.00, 90.00 degrees
Last column: nearest neighbours and their distance in Å.
Positions (direct):
Pt 0.5000 0.0000 0.1847  2 Ge 2.46, 1 Pt 2.69
Pt 0.5000 0.0000 0.8435  3 Pt 2.69-2.71
Pt 0.5000 0.5000 0.6417  1 Ge 2.48, 2 Pt 2.71
Nd 0.0000 0.5000 0.9877  10 Pt 3.12-3.33, 2 Ge 3.29
Nd 0.0000 0.0000 0.5154  8 Pt 3.07-3.23, 4 Ge 3.27
Ge 0.5000 0.5000 0.3270  3 Pt 2.46-2.48